Entry 1:
A relaxed AcTb3Te4 crystal. Source: Alexandria, functional PBE.

The structure in CIF format:
```
data_AcTb3Te4
_symmetry_space_group_name_H-M 'C m m m'
_symmetry_Int_Tables_number 65
_symmetry_space_group_name_Hall '-C 2 2'
_cell_length_a 9.0938
_cell_length_b 12.6399
_cell_length_c 4.3853
_cell_angle_alpha 90.00
_cell_angle_beta 90.00
_cell_angle_gamma 90.00
loop_
_atom_site_label
_atom_site_fract_x
_atom_site_fract_y
_atom_site_fract_z
Ac1 0.0000 0.0000 0.0000
Tb1 0.0000 0.5000 0.0000
Tb2 0.2500 0.2500 0.5000
Te1 0.0000 0.2581 0.0000
Te2 0.2335 0.5000 0.5000
```

Computed properties:
Its crystal system is orthorhombic. The excess energy over the best structure of this formula in the dataset comes out at 0.125 eV/f.u.

Entry 2:
A relaxed Ac4TbTe6 crystal. Source: Alexandria, functional PBE.

The structure in CIF format:
```
data_Ac4TbTe6
_symmetry_space_group_name_H-M 'R -3 c'
_symmetry_Int_Tables_number 167
_symmetry_space_group_name_Hall '-R 3 2"c'
_cell_length_a 13.0854
_cell_length_b 13.0854
_cell_length_c 15.7693
_cell_angle_alpha 90.00
_cell_angle_beta 90.00
_cell_angle_gamma 120.00
loop_
_atom_site_label
_atom_site_fract_x
_atom_site_fract_y
_atom_site_fract_z
Ac1 0.0000 0.0000 0.2500
Ac2 0.0000 0.3878 0.2500
Tb1 0.0000 0.0000 0.0000
Te1 0.0325 0.2049 0.3878
```

Computed properties:
Its crystal system is trigonal.

Entry 3:
A relaxed AcTb4Te5 crystal. Source: Alexandria, functional PBE.

The structure in CIF format:
```
data_AcTb4Te5
_symmetry_space_group_name_H-M 'C 1 2/m 1'
_symmetry_Int_Tables_number 12
_cell_length_a 14.8084
_cell_length_b 4.4162
_cell_length_c 10.9355
_cell_angle_alpha 90.00
_cell_angle_beta 119.87
_cell_angle_gamma 90.00
loop_
_symmetry_equiv_pos_as_xyz
'x,y,z'
'-x,-y,-z'
'-x,y,-z'
'x,-y,z'
'x+1/2,y+1/2,z'
'-x+1/2,-y+1/2,-z'
'-x+1/2,y+1/2,-z'
'x+1/2,-y+1/2,z'
loop_
_atom_site_label
_atom_site_fract_x
_atom_site_fract_y
_atom_site_fract_z
Ac1 0.0000 0.0000 0.0000
Tb1 0.0936 0.5000 0.3932
Tb2 0.2054 0.0000 0.7910
Te1 0.0000 0.0000 0.5000
Te2 0.1129 0.5000 0.8943
Te3 0.2051 0.0000 0.3174
```

Computed properties:
Its crystal system is monoclinic.

Entry 4:
A relaxed AcTb4Te8 crystal. Source: Alexandria, functional PBE.

The structure in CIF format:
```
data_AcTb4Te8
_symmetry_space_group_name_H-M 'R -3 m'
_symmetry_Int_Tables_number 166
_symmetry_space_group_name_Hall '-R 3 2"'
_cell_length_a 8.6765
_cell_length_b 8.6765
_cell_length_c 23.5503
_cell_angle_alpha 90.00
_cell_angle_beta 90.00
_cell_angle_gamma 120.00
loop_
_atom_site_label
_atom_site_fract_x
_atom_site_fract_y
_atom_site_fract_z
Ac1 0.0000 0.0000 0.0000
Tb1 0.0000 0.0000 0.5000
Tb2 0.0000 0.5000 0.5000
Te1 0.0000 0.0000 0.2427
Te2 0.0060 0.5030 0.2444
```

Computed properties:
Its crystal system is trigonal.

Entry 5:
A relaxed AcTb2Te crystal. Source: Alexandria, functional PBE.

The structure in CIF format:
```
data_AcTb2Te
_symmetry_space_group_name_H-M 'P 4/m m m'
_symmetry_Int_Tables_number 123
_symmetry_space_group_name_Hall '-P 4 2'
_cell_length_a 3.9072
_cell_length_b 3.9072
_cell_length_c 8.3109
_cell_angle_alpha 90.00
_cell_angle_beta 90.00
_cell_angle_gamma 90.00
loop_
_atom_site_label
_atom_site_fract_x
_atom_site_fract_y
_atom_site_fract_z
Ac1 0.0000 0.0000 0.0000
Tb1 0.5000 0.5000 0.2898
Te1 0.0000 0.0000 0.5000
```

Computed properties:
Its crystal system is tetragonal. The excess energy over the best structure of this formula in the dataset comes out at 0.000 eV/f.u.

Entry 6:
A relaxed AcTbTe crystal. Source: Alexandria, functional PBE.

The structure in CIF format:
```
data_AcTbTe
_symmetry_space_group_name_H-M 'P -6 m 2'
_symmetry_Int_Tables_number 187
_symmetry_space_group_name_Hall 'P -6 2'
_cell_length_a 5.3570
_cell_length_b 5.3570
_cell_length_c 4.2186
_cell_angle_alpha 90.00
_cell_angle_beta 90.00
_cell_angle_gamma 120.00
loop_
_atom_site_label
_atom_site_fract_x
_atom_site_fract_y
_atom_site_fract_z
Ac1 0.0000 0.0000 0.0000
Tb1 0.6667 0.3333 0.5000
Te1 0.3333 0.6667 0.5000
```

Computed properties:
Its crystal system is hexagonal. The excess energy over the best structure of this formula in the dataset comes out at 0.584 eV/f.u.

Entry 7:
A relaxed Ac4TbTe5 crystal. Source: Alexandria, functional PBE.

The structure in CIF format:
```
data_Ac4TbTe5
_symmetry_space_group_name_H-M 'R -3 m'
_symmetry_Int_Tables_number 166
_symmetry_space_group_name_Hall '-R 3 2"'
_cell_length_a 4.6363
_cell_length_b 4.6363
_cell_length_c 57.6349
_cell_angle_alpha 90.00
_cell_angle_beta 90.00
_cell_angle_gamma 120.00
loop_
_atom_site_label
_atom_site_fract_x
_atom_site_fract_y
_atom_site_fract_z
Ac1 0.0000 0.0000 0.1037
Ac2 0.0000 0.0000 0.2988
Tb1 0.0000 0.0000 0.5000
Te1 0.0000 0.0000 0.0000
Te2 0.0000 0.0000 0.1950
Te3 0.0000 0.0000 0.4026
```

Computed properties:
Its crystal system is trigonal. The excess energy over the best structure of this formula in the dataset comes out at 0.000 eV/f.u.

Entry 8:
A relaxed Ac2Tb2Te5 crystal. Source: Alexandria, functional PBE.

The structure in CIF format:
```
data_Ac2Tb2Te5
_symmetry_space_group_name_H-M 'C 1 2/m 1'
_symmetry_Int_Tables_number 12
_cell_length_a 16.9367
_cell_length_b 6.0487
_cell_length_c 6.4910
_cell_angle_alpha 90.00
_cell_angle_beta 109.50
_cell_angle_gamma 90.00
loop_
_symmetry_equiv_pos_as_xyz
'x,y,z'
'-x,-y,-z'
'-x,y,-z'
'x,-y,z'
'x+1/2,y+1/2,z'
'-x+1/2,-y+1/2,-z'
'-x+1/2,y+1/2,-z'
'x+1/2,-y+1/2,z'
loop_
_atom_site_label
_atom_site_fract_x
_atom_site_fract_y
_atom_site_fract_z
Ac1 0.0986 0.0000 0.3251
Tb1 0.1699 0.5000 0.9439
Te1 0.0000 0.5000 0.0000
Te2 0.1334 0.0000 0.8575
Te3 0.1884 0.5000 0.4794
```

Computed properties:
Its crystal system is monoclinic.

Entry 9:
A relaxed AcTb6Te8 crystal. Source: Alexandria, functional PBE.

The structure in CIF format:
```
data_AcTb6Te8
_symmetry_space_group_name_H-M 'R -3'
_symmetry_Int_Tables_number 148
_symmetry_space_group_name_Hall '-R 3'
_cell_length_a 9.9433
_cell_length_b 9.9433
_cell_length_c 17.3074
_cell_angle_alpha 90.00
_cell_angle_beta 90.00
_cell_angle_gamma 120.00
loop_
_atom_site_label
_atom_site_fract_x
_atom_site_fract_y
_atom_site_fract_z
Ac1 0.0000 0.0000 0.0000
Tb1 0.0335 0.7778 0.4091
Te1 0.0000 0.0000 0.2929
Te2 0.0109 0.2934 0.0914
```

Computed properties:
Its crystal system is trigonal.

Entry 10:
A relaxed AcTbTe3 crystal. Source: Alexandria, functional PBE.

The structure in CIF format:
```
data_AcTbTe3
_symmetry_space_group_name_H-M 'P n m a'
_symmetry_Int_Tables_number 62
_cell_length_a 8.4812
_cell_length_b 4.6103
_cell_length_c 17.6424
_cell_angle_alpha 90.00
_cell_angle_beta 90.00
_cell_angle_gamma 90.00
loop_
_symmetry_equiv_pos_as_xyz
'x,y,z'
'-x,-y,-z'
'-x+1/2,-y,z+1/2'
'x+1/2,y,-z+1/2'
'x+1/2,-y+1/2,-z+1/2'
'-x+1/2,y+1/2,z+1/2'
'-x,y+1/2,-z'
'x,-y+1/2,z'
loop_
_atom_site_label
_atom_site_fract_x
_atom_site_fract_y
_atom_site_fract_z
Ac1 0.1380 0.2500 0.1979
Tb1 0.2275 0.7500 0.4581
Te1 0.0091 0.2500 0.3967
Te2 0.1221 0.7500 0.0572
Te3 0.1560 0.2500 0.7874
```

Computed properties:
Its crystal system is orthorhombic. The excess energy over the best structure of this formula in the dataset comes out at 0.063 eV/f.u.

Entry 11:
A relaxed Ac3TbTe4 crystal. Source: Alexandria, functional PBE.

The structure in CIF format:
```
data_Ac3TbTe4
_symmetry_space_group_name_H-M 'C m m m'
_symmetry_Int_Tables_number 65
_symmetry_space_group_name_Hall '-C 2 2'
_cell_length_a 9.4616
_cell_length_b 13.1425
_cell_length_c 4.5621
_cell_angle_alpha 90.00
_cell_angle_beta 90.00
_cell_angle_gamma 90.00
loop_
_atom_site_label
_atom_site_fract_x
_atom_site_fract_y
_atom_site_fract_z
Ac1 0.0000 0.0000 0.0000
Ac2 0.2500 0.2500 0.5000
Tb1 0.0000 0.5000 0.0000
Te1 0.0000 0.2592 0.0000
Te2 0.2323 0.5000 0.5000
```

Computed properties:
Its crystal system is orthorhombic. The excess energy over the best structure of this formula in the dataset comes out at 0.023 eV/f.u.

Entry 12:
A relaxed AcTb2Te crystal. Source: Alexandria, functional PBE.

The structure in CIF format:
```
data_AcTb2Te
_symmetry_space_group_name_H-M 'R 3 m'
_symmetry_Int_Tables_number 160
_symmetry_space_group_name_Hall 'R 3 -2"'
_cell_length_a 3.9883
_cell_length_b 3.9883
_cell_length_c 30.4644
_cell_angle_alpha 90.00
_cell_angle_beta 90.00
_cell_angle_gamma 120.00
loop_
_atom_site_label
_atom_site_fract_x
_atom_site_fract_y
_atom_site_fract_z
Ac1 0.0000 0.0000 0.0000
Tb1 0.0000 0.0000 0.2338
Tb2 0.0000 0.0000 0.4329
Te1 0.0000 0.0000 0.8333
```

Computed properties:
Its crystal system is trigonal. The excess energy over the best structure of this formula in the dataset comes out at 0.089 eV/f.u.

Table of total moment (μB/cell), in record order: 0.00; 0.00; 0.00; 0.00; 0.00; 0.00; 0.00; 0.00; 0.00; 0.00; 0.00; 0.00
Table of energy relative to the elements, uncorrected (eV/f.u.), in record order: -10.7; -16.0; -13.4; -17.4; -2.3; -1.7; -14.5; -11.9; -18.3; -7.5; -11.4; -2.2